Entry 1:
Material: SrP2O6
Method: DFT, PBE-GGA
State: optimized geometry

Calculated values
N(E_F) (states/eV/atom): 0.000
Total magnetization (μB per formula unit): 0.000
Formation energy (no corrections) (eV/atom): -2.52

Cell: 7.498 18.896 7.499 Å, 90.00 90.23 90.00°
Space group P2_1 (No. 4)
Symmetry-distinct sites (fractional):
Sr 0.004 0.000 0.005
Sr 0.005 0.376 0.495
Sr 0.492 0.751 0.504
Sr 0.494 0.626 0.008
P 0.011 0.703 0.455
P 0.012 0.673 0.053
P 0.050 0.048 0.509
P 0.053 0.328 0.993
P 0.452 0.078 0.507
P 0.454 0.297 0.994
P 0.488 0.952 0.053
P 0.490 0.923 0.454
O 0.024 0.750 0.960
O 0.025 0.625 0.542
O 0.036 0.861 0.166
O 0.039 0.517 0.330
O 0.042 0.004 0.343
O 0.050 0.371 0.161
O 0.073 0.690 0.253
O 0.154 0.748 0.537
O 0.156 0.628 0.974
O 0.173 0.143 0.955
O 0.175 0.232 0.537
O 0.252 0.063 0.571
O 0.253 0.311 0.929
O 0.326 0.481 0.950
O 0.331 0.892 0.547
O 0.343 0.378 0.538
O 0.346 0.998 0.972
O 0.424 0.935 0.252
O 0.454 0.765 0.164
O 0.458 0.500 0.477
O 0.459 0.106 0.321
O 0.461 0.254 0.162
O 0.465 0.624 0.350
O 0.475 0.876 0.959

***

Entry 2:
Material: SrPO3
Method: DFT, PBE-GGA
State: optimized geometry

Calculated values
N(E_F) (states/eV/atom): 0.756
Total magnetization (μB per formula unit): 1.000
Formation energy (no corrections) (eV/atom): 0.39

Cell: 4.464 4.464 4.464 Å, 90.00 90.00 90.00°
Space group Pm-3m (No. 221)
Symmetry-distinct sites (fractional):
Sr 0.000 0.000 0.000
P 0.500 0.500 0.500
O 0.000 0.000 0.500